Below is an optimized crystal structure of LiFeH12S2O14, with properties calculated at the PBE+U level.

Unit cell a=6.1233 b=12.4644 c=8.8733 alpha=90.00 beta=104.06 gamma=90.00
With the nearest neighbours (Å) after each atom.
Space group P2_1 (No. 4)
Unique sites:
Li 0.0953 0.0000 0.2005 x2  3 O 1.95-2.01
Fe 0.4846 0.4574 0.2460 x2  6 O 1.99-2.06
H 0.1493 0.5205 0.3645 x2  1 O 1.01
H 0.1588 0.3625 0.0291 x2  1 O 1.00
H 0.1621 0.6006 0.2243 x2  1 O 1.01
H 0.1663 0.8251 0.7159 x2  1 O 1.02
H 0.1764 0.8988 0.8705 x2  1 O 1.00
H 0.1917 0.0559 0.5387 x2  1 O 1.01
H 0.3984 0.5635 0.9735 x2  1 O 1.00
H 0.4031 0.3297 0.9962 x2  1 O 1.00
H 0.4363 0.0849 0.5027 x2  1 O 1.00
H 0.4472 0.8539 0.4816 x2  1 O 1.01
H 0.4848 0.2667 0.3806 x2  1 O 1.00
H 0.4969 0.1471 0.8926 x2  1 O 1.00
S 0.2024 0.6143 0.6529 x2  4 O 1.48-1.51
S 0.2438 0.8127 0.1640 x2  4 O 1.47-1.53
O 0.0788 0.7171 0.6372 x2  1 S 1.48, 1 H 1.55
O 0.0806 0.5388 0.5287 x2  1 S 1.50, 2 H 1.63-1.64
O 0.1008 0.7199 0.1743 x2  1 S 1.47, 1 H 1.57
O 0.1122 0.8896 0.0395 x2  1 S 1.53, 2 H 1.64-1.66
O 0.1930 0.5240 0.2622 x2  2 H 1.01
O 0.1974 0.5631 0.8060 x2  1 S 1.51, 1 H 1.68
O 0.2207 0.8960 0.7689 x2  2 H 1.00-1.02
O 0.2923 0.8803 0.3074 x2  1 S 1.50, 1 H 1.64
O 0.3246 0.3556 0.0764 x2  2 H 1.00
O 0.3593 0.0605 0.5836 x2  2 H 1.00-1.01
O 0.4403 0.6297 0.6424 x2  1 S 1.49
O 0.4556 0.7791 0.1231 x2  1 S 1.49, 1 H 1.65
O 0.4647 0.3431 0.4077 x2  2 H 1.00-1.01
O 0.4945 0.0692 0.9214 x2  2 H 1.00

Values from the calculation:
VASP energy   -5.427 eV/atom
Calculated volume   328.5 Å³/f.u.